Entry 1:
Density functional theory data (GGA-PBEsol) for a relaxed ReMoW crystal.

Computed properties:
The magnetization is 0.00 μB/cell. The calculation puts the calculated formation energy at 0.07 eV per atom. For the volume, the calculation gives 15.18 A^3/atom. Its energy above the most stable polymorph in this dataset is 0.00 eV/f.u.

Cell lengths 4.4007, 4.4007, 2.7161 Å; angles 90.00, 90.00, 120.00 degrees
Last column: nearest neighbours and their distance in Å.
Space group P3m1 (No. 156)
Inequivalent atoms, fractional coordinates:
Re (0.0000, 0.0000, 0.0000) [1 per cell]  3 W 2.69, 3 Mo 2.71, 2 Re 2.72
Mo (0.6667, 0.3333, 0.3465) [1 per cell]  3 W 2.69, 3 Re 2.71, 2 Mo 2.72
W (0.3333, 0.6667, 0.6764) [1 per cell]  3 Re 2.69, 3 Mo 2.69, 2 W 2.72

Entry 2:
Density functional theory data (GGA-PBEsol) for a relaxed BaSr2W crystal.

Computed properties:
The magnetization is 2.26 μB/cell. The calculation puts the calculated formation energy at 1.04 eV per atom. For the volume, the calculation gives 37.27 A^3/atom.

Cell lengths 3.8350, 3.8350, 10.1379 Å; angles 90.00, 90.00, 90.00 degrees
Last column: nearest neighbours and their distance in Å.
Space group P4mm (No. 99)
Inequivalent atoms, fractional coordinates:
Ba (0.0000, 0.0000, 0.0000) [1 per cell]  4 W 3.33
Sr (0.0000, 0.0000, 0.6281) [1 per cell]  4 W 3.27
Sr (0.5000, 0.5000, 0.3196) [1 per cell]  8 Sr 3.83-4.14, 4 Ba 4.23
W (0.5000, 0.5000, 0.8087) [1 per cell]  4 Sr 3.27, 4 Ba 3.33

Entry 3:
Density functional theory data (GGA-PBEsol) for a relaxed Ti2InFe crystal.

Computed properties:
The magnetization is 4.03 μB/cell. The calculation puts the calculated formation energy at -0.04 eV per atom. For the volume, the calculation gives 15.34 A^3/atom.

Cell lengths 6.2615, 6.2615, 6.2615 Å; angles 90.00, 90.00, 90.00 degrees
Last column: nearest neighbours and their distance in Å.
Space group F-43m (No. 216)
Inequivalent atoms, fractional coordinates:
Ti (0.0000, 0.0000, 0.0000) [4 per cell]  4 In 2.71, 4 Ti 2.71
Ti (0.2500, 0.2500, 0.2500) [4 per cell]  4 Fe 2.71, 4 Ti 2.71
In (0.2500, 0.2500, 0.7500) [4 per cell]  4 Fe 2.71, 4 Ti 2.71
Fe (0.0000, 0.0000, 0.5000) [4 per cell]  4 In 2.71, 4 Ti 2.71

Entry 4:
Density functional theory data (GGA-PBEsol) for a relaxed Mg2AuCl crystal.

Computed properties:
The magnetization is 0.00 μB/cell. For the volume, the calculation gives 19.44 A^3/atom. Its energy above the most stable polymorph in this dataset is 0.00 eV/f.u.

Cell lengths 3.4183, 3.4183, 23.0531 Å; angles 90.00, 90.00, 120.00 degrees
Last column: nearest neighbours and their distance in Å.
Space group R-3m (No. 166, hexagonal axes)
Inequivalent atoms, fractional coordinates:
Mg (0.0000, 0.0000, 0.2474) [6 per cell]  3 Au 2.71, 3 Cl 2.80
Au (0.0000, 0.0000, 0.5000) [3 per cell]  6 Mg 2.71
Cl (0.0000, 0.0000, 0.0000) [3 per cell]  6 Mg 2.80

Entry 5:
Density functional theory data (GGA-PBEsol) for a relaxed MoIr2Ru crystal.

Computed properties:
The magnetization is 0.00 μB/cell. The calculation puts the calculated formation energy at -0.22 eV per atom. For the volume, the calculation gives 14.08 A^3/atom. Its energy above the most stable polymorph in this dataset is 0.21 eV/f.u.

Cell lengths 3.8278, 3.8278, 7.6878 Å; angles 90.00, 90.00, 90.00 degrees
Last column: nearest neighbours and their distance in Å.
Space group I4/mmm (No. 139)
Inequivalent atoms, fractional coordinates:
Mo (0.0000, 0.0000, 0.0000) [2 per cell]  4 Ru 2.71, 8 Ir 2.71
Ir (0.0000, 0.5000, 0.2500) [4 per cell]  4 Ir 2.71, 4 Mo 2.71, 4 Ru 2.71
Ru (0.0000, 0.0000, 0.5000) [2 per cell]  4 Mo 2.71, 8 Ir 2.71

Entry 6:
Density functional theory data (GGA-PBEsol) for a relaxed Sr2LaSb crystal.

Computed properties:
The magnetization is 2.04 μB/cell. The value obtained for the uncorrected energy is -3.60 eV/atom. For the volume, the calculation gives 38.96 A^3/atom.

Cell lengths 3.9590, 3.9590, 34.4409 Å; angles 90.00, 90.00, 120.00 degrees
Last column: nearest neighbours and their distance in Å.
Space group R-3m (No. 166, hexagonal axes)
Inequivalent atoms, fractional coordinates:
Sr (0.0000, 0.0000, 0.2348) [6 per cell]  3 Sb 3.27
La (0.0000, 0.0000, 0.0000) [3 per cell]  6 La 3.96, 6 Sr 4.09
Sb (0.0000, 0.0000, 0.5000) [3 per cell]  6 Sr 3.28

Entry 7:
Density functional theory data (GGA-PBEsol) for a relaxed CrW crystal.

Computed properties:
The magnetization is 0.00 μB/cell. The calculation puts the calculated formation energy at 0.08 eV per atom. For the volume, the calculation gives 13.52 A^3/atom.

Cell lengths 3.0073, 4.2328, 8.4990 Å; angles 90.00, 90.00, 90.00 degrees
Last column: nearest neighbours and their distance in Å.
Space group Imma (No. 74)
Inequivalent atoms, fractional coordinates:
Cr (0.0000, 0.2500, 0.1273) [4 per cell]  2 Cr 2.57, 6 W 2.59-2.60
W (0.0000, 0.2500, 0.6211) [4 per cell]  6 Cr 2.59-2.60, 2 W 2.66

Entry 8:
Density functional theory data (GGA-PBEsol) for a relaxed ReI3 crystal.

Computed properties:
The magnetization is 0.00 μB/cell. The value obtained for the uncorrected energy is -4.69 eV/atom. For the volume, the calculation gives 36.56 A^3/atom.

Cell lengths 8.8319, 11.1203, 9.4150 Å; angles 90.00, 108.38, 90.00 degrees
Last column: nearest neighbours and their distance in Å.
Space group P2_1/m (No. 11)
Inequivalent atoms, fractional coordinates:
Re (0.1612, 0.2500, 0.3588) [2 per cell]  2 Re 2.45, 2 I 2.56-2.60
Re (0.1654, 0.1377, 0.1368) [4 per cell]  2 Re 2.45-2.50, 3 I 2.62-2.73
I (0.1247, 0.7500, 0.6180) [2 per cell]  1 Re 2.60
I (0.1532, 0.5905, 0.9831) [4 per cell]  2 Re 2.73-2.91
I (0.1584, 0.0041, 0.3790) [4 per cell]  2 Re 2.74
I (0.1598, 0.2500, 0.8771) [2 per cell]  2 Re 2.73
I (0.4451, 0.2500, 0.5440) [2 per cell]  1 Re 2.56
I (0.4691, 0.0884, 0.1962) [4 per cell]  1 Re 2.62